Record 1
DFT (PBE) results for a relaxed CaHf2TaPd crystal.

Values from the calculation:
Symmetry   P4/mmm
Total moment   0.484 μB/f.u.
Density of states at the Fermi level   1.240 states/eV per atom
Energy   -34.63 eV/cell
Calculated formation energy   0.87 eV/atom

extended XYZ file:
```
5
Lattice="5.0349 0.0000 0.0000 0.0000 5.0349 0.0000 0.0000 0.0000 5.0597" Properties=species:S:1:pos:R:3 pbc="T T T"
Ca 0.0000 0.0000 0.0000
Hf 0.0000 2.5174 2.5298
Hf 2.5174 0.0000 2.5298
Ta 2.5174 2.5174 0.0000
Pd 0.0000 0.0000 2.5298
```

---

Record 2
DFT (PBE) results for a relaxed TcPSe2N crystal.

Values from the calculation:
Symmetry   P4/mmm
Total moment   1.693 μB/f.u.
Energy above the lowest structure with this stoichiometry   223 meV per atom
Density of states at the Fermi level   0.974 states/eV per atom
Energy   -26.95 eV/cell
E_form (uncorrected)   824 meV per atom

extended XYZ file:
```
5
Lattice="4.9520 0.0000 0.0000 0.0000 4.9520 0.0000 0.0000 0.0000 3.1953" Properties=species:S:1:pos:R:3 pbc="T T T"
Tc 0.0000 0.0000 0.0000
P 2.4760 2.4760 1.5977
Se 0.0000 2.4760 1.5977
Se 2.4760 0.0000 1.5977
N 2.4760 2.4760 0.0000
```

---

The highest energy belongs to which entry? TcPSe2N

---

Look up the density of states at the Fermi level of the second one. 0.974 states/eV per atom